ScReRu2 after structural relaxation. Source: the Alexandria database, functional PBE.

Formation enthalpy at 0 K ... 0.025 eV per atom
Space group ... C2/m (12)

Structure (extended XYZ):
```
4
Lattice="4.754 0.003 -0.002 3.917 2.695 -0.002 0.879 0.273 4.908" Properties=species:S:1:pos:R:3 pbc="T T T"
Ru 4.829 1.503 2.312
Ru 8.616 2.681 0.136
Re 2.387 0.743 1.226
Sc 7.162 2.229 3.678
```


Pr3AlZn2Pd9 after structural relaxation. Source: the Alexandria database, functional PBE.

Formation enthalpy at 0 K ... -0.448 eV per atom
Space group ... P-3m1 (164)

Structure (extended XYZ):
```
15
Lattice="7.245 0.000 0.000 -3.622 6.274 0.000 0.000 0.000 6.850" Properties=species:S:1:pos:R:3 pbc="T T T"
Pr 3.622 2.091 2.263
Pr 0.000 0.000 0.000
Pr 0.000 4.183 4.588
Zn 0.000 4.183 1.170
Zn 3.622 2.091 5.680
Pd 1.777 1.026 4.566
Pd 5.468 1.026 4.566
Pd 3.622 0.000 0.000
Pd -1.845 5.248 2.284
Pd 0.000 2.052 2.284
Pd -1.811 3.137 0.000
Pd 1.811 3.137 0.000
Pd 1.845 5.248 2.284
Pd 3.622 4.222 4.566
Al 0.000 0.000 3.425
```


ZrAl5Rh4 after structural relaxation. Source: the Alexandria database, functional PBE.

Formation enthalpy at 0 K ... -0.965 eV per atom
Space group ... P4/mmm (123)

Structure (extended XYZ):
```
10
Lattice="3.004 0.000 0.000 0.000 3.004 0.000 0.000 0.000 16.222" Properties=species:S:1:pos:R:3 pbc="T T T"
Rh 0.000 0.000 9.614
Rh 0.000 0.000 12.632
Rh 0.000 0.000 3.590
Rh 0.000 0.000 6.608
Zr 0.000 0.000 0.000
Al 1.502 1.502 8.111
Al 1.502 1.502 2.085
Al 1.502 1.502 5.074
Al 1.502 1.502 11.148
Al 1.502 1.502 14.137
```


TbGdZr2 after structural relaxation. Source: the Alexandria database, functional PBE.

Formation enthalpy at 0 K ... 0.133 eV per atom
Energy above the lowest structure with this stoichiometry ... 0 meV per atom
Space group ... P4/mmm (123)

Structure (extended XYZ):
```
4
Lattice="4.865 0.000 0.000 0.000 4.691 0.000 0.000 0.000 4.691" Properties=species:S:1:pos:R:3 pbc="T T T"
Gd 2.432 0.000 0.000
Zr 0.000 0.000 2.345
Zr 0.000 2.345 0.000
Tb 2.432 2.345 2.345
```


ZnGaFe3 after structural relaxation. Source: the Alexandria database, functional PBE.

Formation enthalpy at 0 K ... 0.094 eV per atom
Energy above the lowest structure with this stoichiometry ... 30 meV per atom
Space group ... P2_1/m (11)

Structure (extended XYZ):
```
10
Lattice="-0.839 2.552 0.807 -4.812 -3.703 1.799 3.538 -1.108 7.184" Properties=species:S:1:pos:R:3 pbc="T T T"
Fe -3.424 -1.601 1.482
Fe -3.169 -0.685 3.730
Fe -0.425 -0.116 4.783
Fe 1.056 -1.575 6.060
Fe 1.310 -0.659 8.308
Fe -1.688 -2.144 5.007
Zn 0.000 0.000 0.000
Zn 1.769 -0.554 3.592
Ga -0.877 -1.095 2.537
Ga -1.237 -1.164 7.253
```


Sr2ReTc after structural relaxation. Source: the Alexandria database, functional PBE.

Formation enthalpy at 0 K ... 1.232 eV per atom
Energy above the lowest structure with this stoichiometry ... 920 meV per atom
Space group ... C2/m (12)

Structure (extended XYZ):
```
4
Lattice="6.325 0.009 0.034 -2.582 5.391 -0.030 1.161 0.642 2.539" Properties=species:S:1:pos:R:3 pbc="T T T"
Tc -0.711 3.016 1.255
Sr 3.743 0.325 1.287
Sr 0.000 0.000 0.000
Re 1.872 2.700 0.002
```


PrHoTh2 after structural relaxation. Source: the Alexandria database, functional PBE.

Formation enthalpy at 0 K ... 0.189 eV per atom
Energy above the lowest structure with this stoichiometry ... 159 meV per atom
Space group ... R-3m (166)

Structure (extended XYZ):
```
4
Lattice="3.513 0.000 0.000 1.757 3.042 0.000 1.757 1.014 12.476" Properties=species:S:1:pos:R:3 pbc="T T T"
Pr 0.000 0.000 0.000
Th 1.757 1.014 9.153
Th 5.270 3.042 3.323
Ho 3.513 2.028 6.238
```


Ga2GePb2 after structural relaxation. Source: the Alexandria database, functional PBE.

Formation enthalpy at 0 K ... 0.101 eV per atom
Energy above the lowest structure with this stoichiometry ... 0 meV per atom
Space group ... P4/mbm (127)

Structure (extended XYZ):
```
10
Lattice="-6.755 -0.120 -1.459 1.397 -2.574 -6.260 -0.326 -4.809 1.904" Properties=species:S:1:pos:R:3 pbc="T T T"
Ga -1.263 -2.273 -5.957
Ga -4.094 -0.420 -1.762
Ga -0.392 -0.959 -2.488
Ga -4.966 -1.735 -5.231
Ge -2.679 -1.347 -3.860
Ge 0.000 0.000 0.000
Pb -2.023 -2.921 -0.671
Pb -0.461 -4.192 -3.615
Pb -5.222 -3.310 -2.200
Pb -3.660 -4.581 -5.144
```


RbNa2LiAs after structural relaxation. Source: the Alexandria database, functional PBE.

Formation enthalpy at 0 K ... -0.261 eV per atom
Space group ... P4/mmm (123)

Structure (extended XYZ):
```
5
Lattice="-3.822 -3.481 2.736 -1.175 -2.687 -5.060 3.719 -3.360 0.921" Properties=species:S:1:pos:R:3 pbc="T T T"
Li 1.860 -1.680 0.460
Na -1.911 -1.740 1.368
Na -0.588 -1.344 -2.530
Rb -0.639 -4.764 -0.702
As 0.000 0.000 0.000
```


BeTeI3 after structural relaxation. Source: the Alexandria database, functional PBE.

E_form (uncorrected) ... 0.28 eV per atom
Energy above the lowest structure with this stoichiometry ... 0 meV per atom
Space group ... Pm-3m (221)

Structure (extended XYZ):
```
5
Lattice="5.283 0.000 0.000 0.000 5.283 0.000 0.000 0.000 5.283" Properties=species:S:1:pos:R:3 pbc="T T T"
Be 0.000 0.000 0.000
I 2.642 0.000 0.000
I 0.000 2.642 0.000
I 0.000 0.000 2.642
Te 2.642 2.642 2.642
```


Li4PrAg5 after structural relaxation. Source: the Alexandria database, functional PBE.

Formation enthalpy at 0 K ... -0.200 eV per atom
Space group ... P4/mmm (123)

Structure (extended XYZ):
```
10
Lattice="3.291 0.000 0.000 0.000 3.291 0.000 0.000 0.000 16.692" Properties=species:S:1:pos:R:3 pbc="T T T"
Ag 1.646 1.646 5.314
Ag 1.646 1.646 8.346
Ag 1.646 1.646 2.315
Ag 1.646 1.646 11.378
Ag 1.646 1.646 14.377
Li 0.000 0.000 9.867
Li 0.000 0.000 12.899
Li 0.000 0.000 6.825
Li 0.000 0.000 3.793
Pr 0.000 0.000 0.000
```


Tb8Tm2Ga after structural relaxation. Source: the Alexandria database, functional PBE.

Formation enthalpy at 0 K ... -0.074 eV per atom
Space group ... C2/m (12)

Structure (extended XYZ):
```
11
Lattice="-0.615 5.358 0.962 -5.888 -0.225 -2.512 -3.801 -4.649 7.864" Properties=species:S:1:pos:R:3 pbc="T T T"
Tb -3.274 2.280 0.802
Tb -5.566 0.814 7.500
Tb -7.030 -1.797 5.512
Tb -4.739 -0.331 -1.186
Tb -2.422 -0.663 2.145
Tb -7.883 1.146 4.169
Tb -6.777 1.863 0.883
Tb -3.528 -1.380 5.431
Tm -4.411 1.578 3.985
Tm -5.894 -1.095 2.328
Ga -0.308 2.679 0.481
```


no.,magnetization (Bohr magnetons per cell)
1,0.00
2,0.00
3,0.00
4,7.08
5,13.23
6,0.00
7,0.00
8,0.00
9,0.00
10,0.00
11,0.12
12,0.00